1.
Pm4Zn3Ge: optimized geometry, PBE.

abc: 5.162 5.162 8.995
angles: 73.33 73.33 60.00
Fractional positions:
Ge 0.000 0.000 0.000
Pm 0.123 0.123 0.631
Pm 0.877 0.877 0.369
Zn 0.756 0.756 0.731
Pm 0.373 0.373 0.880
Zn 0.244 0.244 0.269
Pm 0.627 0.627 0.120
Zn 0.500 0.500 0.500

Output
Size of the total moment: 0.0000 μB per atom
Symmetry: R-3m, No. 166
ΔE_f: -0.4292 eV per atom

2.
HfZn2Au6: optimized geometry, PBE.

abc: 4.996 5.899 6.642
angles: 73.49 67.91 64.95
Fractional positions:
Zn 0.764 0.081 0.391
Au 0.097 0.740 0.066
Au 0.680 0.836 0.804
Au 0.320 0.164 0.196
Hf 0.000 0.500 0.500
Zn 0.236 0.919 0.609
Au 0.563 0.603 0.272
Au 0.437 0.397 0.728
Au 0.903 0.260 0.934

Output
Size of the total moment: 0.0000 μB per atom
Symmetry: C2/m, No. 12
ΔE_f: -0.2205 eV per atom

Number 1: calculated total energy -3.859 eV per atom. Number 2: calculated total energy -3.794 eV per atom.